KCuPdS3: relaxed, GGA-PBE.

```
24
Lattice="9.8968 0.0000 0.0000 0.0000 3.6965 0.0000 0.0000 0.0000 13.6218" Properties=species:S:1:pos:R:3 pbc="T T T"
K 2.4477 0.9241 0.1043
K 2.5007 2.7724 6.9152
K 7.3961 0.9241 6.7065
K 7.4491 2.7724 13.5174
Cu 2.3617 0.9241 4.0383
Cu 2.5867 2.7724 10.8491
Cu 7.3101 0.9241 2.7726
Cu 7.5351 2.7724 9.5835
Pd 0.1068 0.9241 10.1839
Pd 4.8416 2.7724 3.3730
Pd 5.0552 0.9241 10.2488
Pd 9.7900 2.7724 3.4379
S 0.3002 0.9241 4.9878
S 0.4890 2.7724 11.7353
S 2.3755 2.7724 2.7011
S 2.5729 0.9241 9.5120
S 4.4594 0.9241 4.9245
S 4.6481 2.7724 11.7987
S 5.2486 0.9241 1.8231
S 5.4374 2.7724 8.6973
S 7.3239 2.7724 4.1097
S 7.5213 0.9241 10.9206
S 9.4078 0.9241 1.8864
S 9.5965 2.7724 8.6340
```

Properties
* total DFT energy (no corrections): -4.170 eV per atom